A | The following is a DFT calculation (GGA-PBE) of a geometry-optimized KBi2Os structure.

a = 8.5168 Å, b = 8.5168 Å, c = 7.1434 Å
α = 90.00°, β = 90.00°, γ = 90.00°
Fractional coordinates of all 16 atoms:
K 0.0000 0.0000 0.0000
K 0.0000 0.5000 0.2500
K 0.5000 0.0000 0.7500
K 0.5000 0.5000 0.5000
Bi 0.1610 0.7500 0.6250
Bi 0.2500 0.1610 0.3750
Bi 0.2500 0.3390 0.8750
Bi 0.3390 0.7500 0.1250
Bi 0.6610 0.2500 0.1250
Bi 0.7500 0.6610 0.8750
Bi 0.7500 0.8390 0.3750
Bi 0.8390 0.2500 0.6250
Os 0.0000 0.0000 0.5000
Os 0.0000 0.5000 0.7500
Os 0.5000 0.0000 0.2500
Os 0.5000 0.5000 0.0000

Output
**Total moment**: 0.000 μB per atom

***

B | The following is a DFT calculation (GGA-PBE) of a geometry-optimized KBi2Os structure.

a = 7.2151 Å, b = 7.2151 Å, c = 7.2151 Å
α = 90.00°, β = 90.00°, γ = 90.00°
Fractional coordinates of all 16 atoms:
K 0.0000 0.0000 0.0000
K 0.0000 0.5000 0.5000
K 0.5000 0.0000 0.5000
K 0.5000 0.5000 0.0000
Bi 0.2500 0.2500 0.2500
Bi 0.2500 0.2500 0.7500
Bi 0.2500 0.7500 0.2500
Bi 0.2500 0.7500 0.7500
Bi 0.7500 0.2500 0.2500
Bi 0.7500 0.2500 0.7500
Bi 0.7500 0.7500 0.2500
Bi 0.7500 0.7500 0.7500
Os 0.0000 0.0000 0.5000
Os 0.0000 0.5000 0.0000
Os 0.5000 0.0000 0.0000
Os 0.5000 0.5000 0.5000

Output
**Total moment**: 0.000 μB per atom

***

Which structure loses on stability? B does.

***

A | The following is a DFT calculation (GGA-PBE) of a geometry-optimized KBi2P2 structure.

a = 5.3160 Å, b = 5.3160 Å, c = 10.8788 Å
α = 90.00°, β = 90.00°, γ = 90.00°
Fractional coordinates of all 10 atoms:
K 0.0000 0.0000 0.0000
K 0.5000 0.5000 0.5000
Bi 0.0000 0.0000 0.3410
Bi 0.0000 0.0000 0.6590
Bi 0.5000 0.5000 0.1590
Bi 0.5000 0.5000 0.8410
P 0.0000 0.5000 0.2500
P 0.0000 0.5000 0.7500
P 0.5000 0.0000 0.2500
P 0.5000 0.0000 0.7500

Output
**Total moment**: 0.000 μB per atom

***

B | The following is a DFT calculation (GGA-PBE) of a geometry-optimized KBi2P2 structure.

a = 4.6348 Å, b = 4.6348 Å, c = 13.4821 Å
α = 90.00°, β = 90.00°, γ = 90.00°
Fractional coordinates of all 10 atoms:
K 0.0000 0.0000 0.0000
K 0.5000 0.5000 0.5000
Bi 0.0000 0.5000 0.2500
Bi 0.0000 0.5000 0.7500
Bi 0.5000 0.0000 0.2500
Bi 0.5000 0.0000 0.7500
P 0.0000 0.0000 0.4227
P 0.0000 0.0000 0.5773
P 0.5000 0.5000 0.0773
P 0.5000 0.5000 0.9227

Output
**Total moment**: 0.000 μB per atom

***

C | The following is a DFT calculation (GGA-PBE) of a geometry-optimized KBi2P2 structure.

a = 8.2474 Å, b = 8.2474 Å, c = 3.8969 Å
α = 90.00°, β = 90.00°, γ = 90.00°
Fractional coordinates of all 10 atoms:
K 0.0000 0.0000 0.0000
K 0.5000 0.5000 0.0000
Bi 0.1404 0.3596 0.5000
Bi 0.3596 0.8596 0.5000
Bi 0.6404 0.1404 0.5000
Bi 0.8596 0.6404 0.5000
P 0.1455 0.6455 0.0000
P 0.3545 0.1455 0.0000
P 0.6455 0.8545 0.0000
P 0.8545 0.3545 0.0000

Output
**Total moment**: 0.000 μB per atom

***

Which structure loses on stability? C does.

***

A | The following is a DFT calculation (GGA-PBE) of a geometry-optimized KBi3P structure.

a = 5.5875 Å, b = 5.5875 Å, c = 5.5875 Å
α = 90.00°, β = 90.00°, γ = 90.00°
Fractional coordinates of all 5 atoms:
K 0.0000 0.0000 0.0000
Bi 0.0000 0.5000 0.5000
Bi 0.5000 0.0000 0.5000
Bi 0.5000 0.5000 0.0000
P 0.5000 0.5000 0.5000

Output
**Total moment**: 0.000 μB per atom

***

B | The following is a DFT calculation (GGA-PBE) of a geometry-optimized KBi3P structure.

a = 5.9810 Å, b = 5.9810 Å, c = 5.9810 Å
α = 90.00°, β = 90.00°, γ = 90.00°
Fractional coordinates of all 5 atoms:
K 0.0000 0.0000 0.0000
Bi 0.0000 0.0000 0.5000
Bi 0.0000 0.5000 0.0000
Bi 0.5000 0.0000 0.0000
P 0.5000 0.5000 0.5000

Output
**Total moment**: 0.416 μB per atom

***

Which structure loses on stability? B does.